{
  "formula": "Cs2NpAg2Te4",
  "functional": "PBE",
  "state": "relaxed",
  "energy_ev_per_cell": -39.2,
  "magmom_total_mub_per_atom": 0.335,
  "vol_a3_per_atom": 36.36,
  "lattice": [[4.5978, 0.0000, 0.0000], [0.0000, 9.0067, 0.5508], [-2.2989, -3.0768, 7.7141]],
  "species": ["Cs", "Ag", "Te", "Te", "Ag", "Te", "Te", "Cs", "Np"],
  "frac_coords": [[0.1353, 0.5725, 0.2706], [0.3196, 0.0166, 0.6392], [0.1913, 0.1777, 0.3826], [0.4875, 0.2248, 0.9751], [0.6804, 0.9834, 0.3608], [0.5125, 0.7752, 0.0249], [0.8087, 0.8223, 0.6174], [0.8647, 0.4275, 0.7294], [0.0000, 0.0000, 0.0000]]
}

---

{
  "formula": "LaGePd",
  "functional": "PBE",
  "state": "relaxed",
  "energy_ev_per_cell": -17.6,
  "magmom_total_mub_per_atom": 0.000,
  "vol_a3_per_atom": 22.63,
  "lattice": [[3.8203, 0.0000, 0.0000], [0.0000, 4.5296, 0.0000], [0.0000, -2.2648, 3.9227]],
  "species": ["La", "Pd", "Ge"],
  "frac_coords": [[0.6666, 0.3333, 0.6667], [0.1667, 0.6667, 0.3333], [0.1667, 0.0000, 0.0000]]
}

---

{
  "formula": "LaTaW2",
  "functional": "PBE",
  "state": "relaxed",
  "magmom_total_mub_per_atom": 0.000,
  "vol_a3_per_atom": 21.03,
  "e_above_lowest_polymorph_mev_per_atom": 302,
  "lattice": [[4.7553, -0.0195, -0.0344], [3.6946, 2.9938, -0.0344], [0.9111, 0.3207, 5.8726]],
  "species": ["La", "W", "Ta", "W"],
  "frac_coords": [[0.5082, 0.5082, 0.4929], [0.2748, 0.2748, 0.1941], [0.7261, 0.7261, 0.8063], [0.9909, 0.9909, 0.0067]]
}

---

{
  "formula": "P2PtAu",
  "functional": "PBE",
  "state": "relaxed",
  "magmom_total_mub_per_atom": 0.000,
  "vol_a3_per_atom": 18.12,
  "e_above_lowest_polymorph_mev_per_atom": 441,
  "lattice": [[-0.1183, -3.2036, 4.7933], [4.7207, -1.2471, 3.0680], [-3.4436, 4.0544, -2.2263]],
  "species": ["P", "Pt", "Au", "P"],
  "frac_coords": [[0.5689, 0.5689, 0.0000], [0.7500, 0.2500, 0.5000], [0.2500, 0.7500, 0.5000], [0.9311, 0.9311, 0.0000]]
}

---

{
  "formula": "Ni2Os3",
  "functional": "PBE",
  "state": "relaxed",
  "magmom_total_mub_per_atom": 0.000,
  "vol_a3_per_atom": 13.20,
  "e_above_lowest_polymorph_mev_per_atom": 47,
  "lattice": [[-3.0014, -5.2279, 4.9007], [0.8924, -2.4722, 6.3041], [-4.6034, 0.6282, 1.7719]],
  "species": ["Os", "Ni", "Ni", "Os", "Os", "Os", "Os", "Ni", "Os", "Ni"],
  "frac_coords": [[0.7785, 0.5289, 0.7941], [0.8984, 0.6968, 0.0610], [0.3439, 0.0610, 0.6968], [0.8985, 0.7941, 0.5289], [0.4559, 0.3515, 0.4715], [0.7211, 0.4715, 0.3515], [0.3308, 0.1692, 0.1692], [0.1890, 0.9061, 0.3516], [0.0808, 0.9192, 0.9192], [0.5532, 0.3516, 0.9061]]
}

---

{
  "formula": "Ti3Cr3Si5",
  "functional": "PBE",
  "state": "relaxed",
  "magmom_total_mub_per_atom": 0.000,
  "vol_a3_per_atom": 13.25,
  "e_above_lowest_polymorph_mev_per_atom": 0,
  "lattice": [[2.4198, 8.7937, -0.0015], [-2.4198, 8.7937, -0.0015], [0.0000, 3.2007, 6.8515]],
  "species": ["Ti", "Cr", "Ti", "Cr", "Si", "Si", "Ti", "Si", "Si", "Si", "Ti", "Ti", "Ti", "Si", "Cr", "Si", "Si", "Cr", "Si", "Cr", "Si", "Cr"],
  "frac_coords": [[0.1414, 0.1414, 0.7539], [0.5620, 0.0554, 0.6912], [0.8586, 0.8586, 0.2461], [0.0554, 0.5620, 0.6912], [0.2561, 0.7439, 0.0000], [0.7826, 0.7826, 0.0124], [0.9341, 0.9341, 0.8096], [0.7439, 0.2561, 0.0000], [0.2889, 0.2889, 0.4171], [0.9320, 0.9320, 0.4758], [0.3575, 0.3575, 0.0258], [0.6425, 0.6425, 0.9742], [0.0659, 0.0659, 0.1904], [0.2174, 0.2174, 0.9876], [0.4391, 0.4391, 0.3141], [0.4347, 0.4347, 0.6422], [0.7111, 0.7111, 0.5829], [0.5609, 0.5609, 0.6859], [0.0680, 0.0680, 0.5242], [0.4380, 0.9446, 0.3088], [0.5653, 0.5653, 0.3578], [0.9446, 0.4380, 0.3088]]
}

---

{
  "formula": "La2Zn2Au",
  "functional": "PBE",
  "state": "relaxed",
  "magmom_total_mub_per_atom": 0.000,
  "vol_a3_per_atom": 25.09,
  "e_above_lowest_polymorph_mev_per_atom": 0,
  "lattice": [[-2.4223, 2.2115, -3.3655], [1.4973, -1.5824, -5.3986], [-8.4115, -5.8633, -1.0798]],
  "species": ["La", "Au", "Au", "La", "Zn", "Zn", "La", "La", "Zn", "Zn"],
  "frac_coords": [[0.6882, 0.2818, 0.3418], [0.6042, 0.1287, 0.6628], [0.3958, 0.8713, 0.3372], [0.3118, 0.7182, 0.6582], [0.9274, 0.7088, 0.4363], [0.3785, 0.1321, 0.1108], [0.9132, 0.2853, 0.8882], [0.0868, 0.7147, 0.1118], [0.6215, 0.8679, 0.8892], [0.0726, 0.2912, 0.5637]]
}

---

{
  "formula": "CrFeOsPb2",
  "functional": "PBE",
  "state": "relaxed",
  "energy_ev_per_cell": -30.2,
  "magmom_total_mub_per_atom": 1.344,
  "vol_a3_per_atom": 26.41,
  "lattice": [[-2.9742, -4.2570, -0.8714], [3.2769, -2.7248, 2.1266], [-2.3992, 0.7284, 4.6304]],
  "species": ["Pb", "Cr", "Os", "Pb", "Fe"],
  "frac_coords": [[0.0000, 0.0000, 0.5000], [0.0000, 0.5000, 0.0000], [0.0000, 0.0000, 0.0000], [0.5000, 0.0000, 0.0000], [0.5000, 0.5000, 0.5000]]
}

---

{
  "formula": "SrMgIr",
  "functional": "PBE",
  "state": "relaxed",
  "energy_ev_per_cell": -12.4,
  "magmom_total_mub_per_atom": 0.000,
  "vol_a3_per_atom": 23.43,
  "lattice": [[6.1583, 0.0556, -0.0176], [4.0740, 4.6184, 0.0176], [-4.9882, -2.6169, 2.4893]],
  "species": ["Mg", "Sr", "Ir"],
  "frac_coords": [[0.6200, 0.6200, 0.0000], [0.3504, 0.3504, 0.0000], [0.0296, 0.0296, 0.0000]]
}

---

{
  "formula": "PrDy3HoEr",
  "functional": "PBE",
  "state": "relaxed",
  "energy_ev_per_cell": -53.0,
  "magmom_total_mub_per_atom": 0.000,
  "vol_a3_per_atom": 33.55,
  "lattice": [[-3.3184, -1.1668, 4.1140], [1.9492, -10.1406, -4.8646], [5.3214, -1.8189, 3.7764]],
  "species": ["Dy", "Dy", "Ho", "Er", "Ho", "Er", "Pr", "Dy", "Dy", "Dy", "Pr", "Dy"],
  "frac_coords": [[0.4749, 0.9498, 0.2757], [0.5251, 0.0502, 0.7243], [0.9280, 0.8561, 0.6577], [0.3327, 0.6653, 0.5311], [0.0720, 0.1439, 0.3423], [0.6673, 0.3347, 0.4689], [0.3695, 0.7391, 0.9762], [0.7741, 0.5481, 0.8126], [0.8291, 0.6581, 0.2783], [0.1709, 0.3419, 0.7217], [0.6305, 0.2609, 0.0238], [0.2259, 0.4519, 0.1874]]
}

---

{
  "formula": "SrBH2Cl",
  "functional": "PBE",
  "state": "relaxed",
  "energy_ev_per_cell": -15.9,
  "magmom_total_mub_per_atom": 0.000,
  "vol_a3_per_atom": 16.37,
  "lattice": [[-3.1708, 0.6046, -2.1386], [-1.5692, -5.1564, 0.8688], [-1.9237, 1.1193, 3.1685]],
  "species": ["Cl", "B", "H", "H", "Sr"],
  "frac_coords": [[0.5000, 0.5000, 0.5000], [0.0000, 0.0000, 0.0000], [0.5000, 0.0000, 0.0000], [0.0000, 0.0000, 0.5000], [0.0000, 0.5000, 0.0000]]
}

---

{
  "formula": "ScZn2Cu",
  "functional": "PBE",
  "state": "relaxed",
  "energy_ev_per_cell": -25.6,
  "magmom_total_mub_per_atom": 0.000,
  "vol_a3_per_atom": 17.68,
  "lattice": [[-0.5115, -1.2970, -3.6442], [-0.2363, -3.6586, 1.3353], [-9.5681, -1.5355, -0.1994]],
  "species": ["Sc", "Zn", "Sc", "Cu", "Zn", "Zn", "Cu", "Zn"],
  "frac_coords": [[0.5000, 0.5000, 0.0000], [0.3750, 0.3319, 0.7500], [0.2500, 0.7500, 0.5000], [0.0000, 0.0000, 0.0000], [0.8750, 0.9181, 0.7500], [0.6681, 0.1250, 0.2500], [0.7500, 0.2500, 0.5000], [0.0819, 0.6250, 0.2500]]
}

---

{
  "formula": "Cu2PSe",
  "functional": "PBE",
  "state": "relaxed",
  "energy_ev_per_cell": -16.3,
  "magmom_total_mub_per_atom": 0.000,
  "vol_a3_per_atom": 16.15,
  "lattice": [[4.3733, 0.7123, 0.4590], [-2.1901, 3.5985, 0.4352], [1.0797, 1.3640, 4.0474]],
  "species": ["Cu", "Se", "P", "Cu"],
  "frac_coords": [[0.0000, 0.5000, 0.5000], [0.5000, 0.0000, 0.5000], [0.5000, 0.5000, 0.0000], [0.0000, 0.0000, 0.0000]]
}

---

{
  "formula": "PrDy5Sc4",
  "functional": "PBE",
  "state": "relaxed",
  "magmom_total_mub_per_atom": 0.002,
  "vol_a3_per_atom": 29.97,
  "e_above_lowest_polymorph_mev_per_atom": 53,
  "lattice": [[-5.2433, -3.1474, 0.9257], [-3.6193, -1.9353, -6.4169], [0.9334, -7.5552, 0.2617]],
  "species": ["Dy", "Sc", "Dy", "Dy", "Dy", "Dy", "Pr", "Sc", "Sc", "Sc"],
  "frac_coords": [[0.7035, 0.0991, 0.3933], [0.8121, 0.6983, 0.5829], [0.1959, 0.9009, 0.6067], [0.6785, 0.0000, 0.0000], [0.0968, 0.6067, 0.0991], [0.8027, 0.3933, 0.9009], [0.2221, 0.0000, 0.0000], [0.0933, 0.3017, 0.4171], [0.3950, 0.4171, 0.6983], [0.5104, 0.5829, 0.3017]]
}

---

{
  "formula": "NiSe",
  "functional": "PBE",
  "state": "relaxed",
  "energy_ev_per_cell": -76.9,
  "magmom_total_mub_per_atom": 0.000,
  "vol_a3_per_atom": 18.95,
  "lattice": [[6.5148, 0.0000, 0.0000], [0.0000, 7.0977, 0.0000], [0.0000, 0.0000, 6.5568]],
  "species": ["Ni", "Ni", "Se", "Ni", "Se", "Ni", "Se", "Ni", "Ni", "Ni", "Ni", "Se", "Se", "Se", "Se", "Se"],
  "frac_coords": [[0.3909, 0.5688, 0.6858], [0.1091, 0.4312, 0.1858], [0.8208, 0.8538, 0.6497], [0.3286, 0.1416, 0.0736], [0.1552, 0.1409, 0.3793], [0.1714, 0.8584, 0.5736], [0.6792, 0.1462, 0.1497], [0.8286, 0.3584, 0.9264], [0.6091, 0.0688, 0.8142], [0.8909, 0.9312, 0.3142], [0.6714, 0.6416, 0.4264], [0.6552, 0.3591, 0.6207], [0.1792, 0.3538, 0.8503], [0.3448, 0.8591, 0.8793], [0.8448, 0.6409, 0.1207], [0.3208, 0.6462, 0.3503]]
}

---

{
  "formula": "Re3BiW",
  "functional": "PBE",
  "state": "relaxed",
  "magmom_total_mub_per_atom": 0.000,
  "vol_a3_per_atom": 22.53,
  "e_above_lowest_polymorph_mev_per_atom": 1477,
  "lattice": [[-1.3266, -3.0067, 3.5389], [0.8272, -3.7746, -2.8969], [4.5695, -0.1896, 1.5519]],
  "species": ["Re", "Re", "Bi", "Re", "W"],
  "frac_coords": [[0.0000, 0.5000, 0.0000], [0.0000, 0.0000, 0.5000], [0.0000, 0.0000, 0.0000], [0.5000, 0.0000, 0.0000], [0.5000, 0.5000, 0.5000]]
}

---

{
  "formula": "Pr2GaCu9",
  "functional": "PBE",
  "state": "relaxed",
  "energy_ev_per_cell": -49.6,
  "magmom_total_mub_per_atom": 0.000,
  "vol_a3_per_atom": 16.16,
  "lattice": [[5.1643, 0.0000, 0.0000], [2.5822, 4.4724, 0.0000], [2.5822, 1.4908, 8.3954]],
  "species": ["Cu", "Cu", "Ga", "Cu", "Cu", "Cu", "Cu", "Pr", "Cu", "Cu", "Cu", "Pr"],
  "frac_coords": [[0.5796, 0.0788, 0.7620], [0.4204, 0.4204, 0.2380], [0.0000, 0.0000, 0.0000], [0.9212, 0.4204, 0.2380], [0.5000, 0.5000, 0.5000], [0.6671, 0.6671, 0.9988], [0.4204, 0.9212, 0.2380], [0.8661, 0.8661, 0.4016], [0.5796, 0.5796, 0.7620], [0.0788, 0.5796, 0.7620], [0.3329, 0.3329, 0.0012], [0.1339, 0.1339, 0.5984]]
}

---

{
  "formula": "SrI",
  "functional": "PBE",
  "state": "relaxed",
  "energy_ev_per_cell": -39.0,
  "magmom_total_mub_per_atom": 0.001,
  "vol_a3_per_atom": 68.48,
  "lattice": [[-2.6395, -9.8741, -1.3468], [8.1556, -1.3396, -6.1619], [5.7269, -2.6432, 8.1544]],
  "species": ["Sr", "Sr", "Sr", "I", "I", "I", "Sr", "I", "I", "I", "I", "Sr", "Sr", "Sr", "I", "Sr"],
  "frac_coords": [[0.8158, 0.1842, 0.8158], [0.6842, 0.3158, 0.3158], [0.6842, 0.6842, 0.6842], [0.3613, 0.3613, 0.3613], [0.6387, 0.3613, 0.6387], [0.1387, 0.8613, 0.1387], [0.8158, 0.8158, 0.1842], [0.8613, 0.1387, 0.1387], [0.6387, 0.6387, 0.3613], [0.8613, 0.8613, 0.8613], [0.3613, 0.6387, 0.6387], [0.3158, 0.6842, 0.3158], [0.1842, 0.1842, 0.1842], [0.1842, 0.8158, 0.8158], [0.1387, 0.1387, 0.8613], [0.3158, 0.3158, 0.6842]]
}